(1)
{
  "formula": "CuAg2Rh",
  "functional": "PBE",
  "state": "optimized geometry",
  "lattice": [[-1.6969, 1.6693, 3.2309], [0.2594, -3.5007, 1.9450], [3.4698, 0.9865, 1.3127]],
  "species": ["Ag", "Ag", "Cu", "Rh"],
  "frac_coords": [[0.5000, 0.5000, 0.0000], [0.0000, 0.0000, 0.0000], [0.5000, 0.0000, 0.5000], [0.0000, 0.5000, 0.5000]],
  "magmom_total_mub_per_cell": 0.0,
  "relative_energy_kcal_per_mol_atoms": 2.462,
  "energy_ev_per_atom": -4.035,
  "ef_mev_per_atom": 253
}

***

(2)
{
  "formula": "WAuCl2",
  "functional": "PBE",
  "state": "optimized geometry",
  "lattice": [[-1.3891, -0.9096, 3.9555], [2.6458, -1.0640, 0.6844], [1.3721, 5.2669, 1.6931]],
  "species": ["Au", "Cl", "Cl", "W"],
  "frac_coords": [[0.5000, 0.7500, 0.7500], [0.0000, 0.1594, 0.0181], [0.0000, 0.3406, 0.4819], [0.5000, 0.2500, 0.2500]],
  "magmom_total_mub_per_cell": 0.0,
  "relative_energy_kcal_per_mol_atoms": 12.607,
  "raw_formation_energy_ev_per_atom": 0.48,
  "energy_ev_per_atom": -4.497
}

***

(3)
{
  "formula": "Mg3Pd2Rh",
  "functional": "PBE",
  "state": "optimized geometry",
  "lattice": [[-1.7246, 2.5907, -0.5967], [-0.6399, -1.0949, -2.9041], [-7.6593, -4.3337, 3.3217]],
  "species": ["Mg", "Mg", "Mg", "Pd", "Pd", "Rh"],
  "frac_coords": [[0.0000, 0.0000, 0.0000], [0.0000, 0.0000, 0.6590], [0.0000, 0.0000, 0.3410], [0.5000, 0.5000, 0.8320], [0.5000, 0.5000, 0.1680], [0.5000, 0.5000, 0.5000]],
  "magmom_total_mub_per_cell": 0.0,
  "energy_ev_per_atom": -4.429,
  "ef_mev_per_atom": -676
}